Crystalline DyTm5Sc4 at its relaxed geometry. Source: Alexandria, functional PBE.

Structure (POSCAR):
```
DyTm5Sc4
1.0
6.0888 0.0000 0.0000
3.0444 6.8869 0.0000
3.0444 0.0000 6.8869
Dy Tm Sc
1 5 4
Cartesian
1.3588 0.0000 0.0000
2.7415 4.2057 0.6687
4.1445 0.0000 0.0000
5.7859 6.2181 4.2057
5.7859 0.6687 2.6811
8.8303 2.6811 6.2181
8.8370 4.8105 4.0469
5.7926 2.8400 4.8105
2.7482 2.0764 2.8400
5.7926 4.0469 2.0764
```

## Properties
D(E_F) (states/eV/f.u.): 14.55
Calculated total energy (eV/cell): -48.9
Density (Mg/m³): 6.8
Offset from the most stable computed form (meV per atom): 41

***

Crystalline Tb2AlGe6 at its relaxed geometry. Source: Alexandria, functional PBE.

Structure (POSCAR):
```
Tb2AlGe6
1.0
-3.3440 -1.0104 4.8902
0.8568 -5.8955 -0.7915
7.7852 -1.3900 6.9512
Ge Al Tb
12 2 4
Cartesian
-1.3886 -6.5858 4.6358
-1.7623 -4.0719 4.9858
1.6100 -4.9434 5.4408
5.2569 -2.1269 8.5032
3.0838 -1.6442 3.6937
0.0410 -6.1690 2.5467
3.6879 -3.3525 5.6092
6.6865 -1.7102 6.4142
2.2142 -6.6518 7.3563
5.6310 -4.6327 8.1466
7.0603 -4.2240 6.0642
-0.3330 -3.6632 2.9034
1.0785 -1.6376 2.2054
4.2195 -6.6583 8.8446
4.7375 -6.2270 5.5758
2.6829 -4.5370 2.6036
0.5605 -2.0689 5.4742
2.6151 -3.7589 8.4463
```

## Properties
D(E_F) (states/eV/f.u.): 3.26
Calculated total energy (eV/cell): -88.9
Density (Mg/m³): 7.0

***

Crystalline Ga3PdC at its relaxed geometry. Source: Alexandria, functional PBE.

Structure (POSCAR):
```
Ga3PdC
1.0
4.2642 0.0000 0.0000
0.0000 4.2642 0.0000
0.0000 0.0000 4.2642
Ga C Pd
3 1 1
Cartesian
2.1321 0.0000 0.0000
0.0000 2.1321 0.0000
0.0000 0.0000 2.1321
0.0000 0.0000 0.0000
2.1321 2.1321 2.1321
```

## Properties
D(E_F) (states/eV/f.u.): 1.95
Calculated total energy (eV/cell): -20.8
Density (Mg/m³): 7.0
Offset from the most stable computed form (meV per atom): 0

***

Number 1: energy relative to the elements 0.339 eV per atom. Number 2: energy relative to the elements -0.413 eV per atom. Number 3: energy relative to the elements 0.539 eV per atom.